Density functional theory data (GGA-PBE) for a relaxed Sr2Rh2Se crystal.

Values from the calculation:
D(E_F)   0.901 states/eV/atom
E above lowest polymorph   0.0000 eV per atom
Theoretical density   6.24 Mg/m³
Energy relative to the elements, uncorrected   -15.5 kcal/mol of atoms

Geometry as POSCAR:
```
Sr2Rh2Se
1.0
-2.414 2.033 -2.008
-2.238 0.290 2.984
1.827 8.470 2.892
Sr Se Rh
2 1 2
Direct
0.395 0.395 0.209 Sr
0.605 0.605 0.791 Sr
0.000 0.000 0.000 Se
0.750 0.250 0.500 Rh
0.250 0.750 0.500 Rh
```



Density functional theory data (GGA-PBE) for a relaxed TmHfCd2 crystal.

Values from the calculation:
Calculated formation energy   -56 meV/atom
D(E_F)   0.980 states/eV/atom
E above lowest polymorph   0.0261 eV per atom
Theoretical density   10.29 Mg/m³

Geometry as POSCAR:
```
TmHfCd2
1.0
5.074 0.000 0.000
2.537 4.394 0.000
2.537 1.465 4.143
Cd Tm Hf
2 1 1
Direct
0.250 0.250 0.250 Cd
0.750 0.750 0.750 Cd
0.000 0.000 0.000 Tm
0.500 0.500 0.500 Hf
```